Record 1
Compound: Pr2Ga3Cu
Source: Alexandria
Functional: GGA-PBEsol
Structure: relaxed

Unit cell a=4.368 b=4.368 c=7.723 alpha=90.00 beta=90.00 gamma=120.00
Fractional positions:
1 Pr 0.000 0.000 0.000
2 Pr 0.000 0.000 0.471
3 Ga 0.333 0.667 0.766
4 Ga 0.667 0.333 0.246
5 Ga 0.667 0.333 0.702
6 Cu 0.333 0.667 0.217

Properties
Mass density, g cm⁻³: 7.217
Formation energy from the elements, eV/atom: -0.5803
E, eV for the cell shown: -28.20
V, Å³ per atom: 21.26
Size of the total moment, μB per formula unit: 0.0



Record 2
Compound: CoHgH2Rh
Source: Alexandria
Functional: GGA-PBEsol
Structure: relaxed

Unit cell a=3.537 b=3.537 c=4.711 alpha=90.00 beta=90.00 gamma=90.00
Fractional positions:
1 Co 0.000 0.000 0.000
2 Hg 0.500 0.500 0.000
3 H 0.000 0.500 0.500
4 H 0.500 0.000 0.500
5 Rh 0.000 0.000 0.500

Properties
Mass density, g cm⁻³: 10.266
E, eV for the cell shown: -20.59
V, Å³ per atom: 11.79
Size of the total moment, μB per formula unit: 1.9



Record 3
Compound: Zr4CdP6O24
Source: Alexandria
Functional: GGA-PBEsol
Structure: relaxed

Unit cell a=9.002 b=9.002 c=9.002 alpha=59.30 beta=59.30 gamma=59.30
Fractional positions:
1 Zr 0.135 0.135 0.135
2 Zr 0.352 0.352 0.352
3 Zr 0.648 0.648 0.648
4 Zr 0.865 0.865 0.865
5 Cd 0.500 0.500 0.500
6 P 0.047 0.742 0.472
7 P 0.258 0.528 0.953
8 P 0.472 0.047 0.742
9 P 0.528 0.953 0.258
10 P 0.742 0.472 0.047
11 P 0.953 0.258 0.528
12 O 0.009 0.786 0.633
13 O 0.061 0.905 0.293
14 O 0.095 0.707 0.939
15 O 0.108 0.316 0.489
16 O 0.214 0.367 0.991
17 O 0.232 0.579 0.447
18 O 0.293 0.061 0.905
19 O 0.316 0.489 0.108
20 O 0.367 0.991 0.214
21 O 0.421 0.553 0.768
22 O 0.447 0.232 0.579
23 O 0.489 0.108 0.316
24 O 0.511 0.892 0.684
25 O 0.553 0.768 0.421
26 O 0.579 0.447 0.232
27 O 0.633 0.009 0.786
28 O 0.684 0.511 0.892
29 O 0.707 0.939 0.095
30 O 0.768 0.421 0.553
31 O 0.786 0.633 0.009
32 O 0.892 0.684 0.511
33 O 0.905 0.293 0.061
34 O 0.939 0.095 0.707
35 O 0.991 0.214 0.367

Properties
Mass density, g cm⁻³: 3.425
E, eV for the cell shown: -291.88
V, Å³ per atom: 14.51
Energy relative to the elements, uncorrected, kJ/mol of atoms: -258.0
Size of the total moment, μB per formula unit: 0.0



Among the records above, which one has the highest size of the total moment?
CoHgH2Rh



Please write out number 3 again, unchanged.
Compound: Zr4CdP6O24
Source: Alexandria
Functional: GGA-PBEsol
Structure: relaxed

Unit cell a=9.002 b=9.002 c=9.002 alpha=59.30 beta=59.30 gamma=59.30
Fractional positions:
1 Zr 0.135 0.135 0.135
2 Zr 0.352 0.352 0.352
3 Zr 0.648 0.648 0.648
4 Zr 0.865 0.865 0.865
5 Cd 0.500 0.500 0.500
6 P 0.047 0.742 0.472
7 P 0.258 0.528 0.953
8 P 0.472 0.047 0.742
9 P 0.528 0.953 0.258
10 P 0.742 0.472 0.047
11 P 0.953 0.258 0.528
12 O 0.009 0.786 0.633
13 O 0.061 0.905 0.293
14 O 0.095 0.707 0.939
15 O 0.108 0.316 0.489
16 O 0.214 0.367 0.991
17 O 0.232 0.579 0.447
18 O 0.293 0.061 0.905
19 O 0.316 0.489 0.108
20 O 0.367 0.991 0.214
21 O 0.421 0.553 0.768
22 O 0.447 0.232 0.579
23 O 0.489 0.108 0.316
24 O 0.511 0.892 0.684
25 O 0.553 0.768 0.421
26 O 0.579 0.447 0.232
27 O 0.633 0.009 0.786
28 O 0.684 0.511 0.892
29 O 0.707 0.939 0.095
30 O 0.768 0.421 0.553
31 O 0.786 0.633 0.009
32 O 0.892 0.684 0.511
33 O 0.905 0.293 0.061
34 O 0.939 0.095 0.707
35 O 0.991 0.214 0.367

Properties
Mass density, g cm⁻³: 3.425
E, eV for the cell shown: -291.88
V, Å³ per atom: 14.51
Energy relative to the elements, uncorrected, kJ/mol of atoms: -258.0
Size of the total moment, μB per formula unit: 0.0